# 1
VASP calculation (PBE) on an optimized crystal structure of CsHf2S4.

Its total magnetization is 0.00 Bohr magnetons per cell. The total energy comes out at -6.7235 eV/atom. Its energy above the lowest structure with this stoichiometry is 193 meV/atom. For the uncorrected formation energy, the calculation gives -1399.2 meV per atom.

The structure belongs to space group Cmcm (No. 63); the cell edges are 3.8491, 12.8341 and 13.2620 Å and the angles 90.00°, 90.00° and 90.00°. The asymmetric unit holds Cs at (0.0000, 0.1099, 0.2500), Hf at (0.0000, 0.3712, 0.0634), S at (0.0000, 0.0000, 0.0000), S at (0.0000, 0.2586, 0.5976) and S at (0.0000, 0.4024, 0.2500).

# 2
VASP calculation (PBE) on an optimized crystal structure of CeNpOs.

Its total magnetization is 6.03 Bohr magnetons per cell. The total energy comes out at -9.4126 eV/atom. Its energy above the lowest structure with this stoichiometry is 542 meV/atom. For the formation energy, the calculation gives 622 meV/atom.

The structure belongs to space group P6_3mc (No. 186); the cell edges are 3.3737, 3.3737 and 13.5219 Å and the angles 90.00°, 90.00° and 120.00°. The asymmetric unit holds Ce at (0.3333, 0.6667, 0.0000), Np at (0.0000, 0.0000, 0.1586) and Os at (0.3333, 0.6667, 0.7876).

# 3
VASP calculation (PBE) on an optimized crystal structure of Gd2TmSc.

Its total magnetization is 59.23 Bohr magnetons per cell. The total energy comes out at -9.6422 eV/atom. Its energy above the lowest structure with this stoichiometry is 49 meV/atom. For the formation energy, the calculation gives 99 meV/atom.

The structure belongs to space group Fm-3m (No. 225); the cell edges are 7.8146, 7.8146 and 7.8146 Å and the angles 90.00°, 90.00° and 90.00°. The asymmetric unit holds Gd at (0.2500, 0.2500, 0.2500), Tm at (0.0000, 0.0000, 0.0000) and Sc at (0.0000, 0.0000, 0.5000).

# 4
VASP calculation (PBE) on an optimized crystal structure of Ba3CaI2Br6.

Its total magnetization is 0.00 Bohr magnetons per cell. The total energy comes out at -3.7388 eV/atom. For the uncorrected formation energy, the calculation gives -1996.6 meV per atom.

The structure belongs to space group C2/m (No. 12); the cell edges are 16.3650, 9.4025 and 7.1642 Å and the angles 90.00°, 94.32° and 90.00°. The asymmetric unit holds Ba at (0.0000, 0.0000, 0.0000), Ba at (0.2500, 0.2500, 0.5000), Ca at (0.0000, 0.5000, 0.5000), I at (0.1876, 0.0000, 0.8105), Br at (0.0688, 0.2629, 0.2771) and Br at (0.1587, 0.5000, 0.7128).

# 5
VASP calculation (PBE) on an optimized crystal structure of Ac3La4Pd2.

Its total magnetization is 0.00 Bohr magnetons per cell. The total energy comes out at -4.9777 eV/atom. For the formation energy, the calculation gives -264 meV/atom.

The structure belongs to space group P-1 (No. 2); the cell edges are 5.6610, 6.7342 and 9.3480 Å and the angles 89.94°, 72.56° and 65.23°. The asymmetric unit holds Ac at (0.0000, 0.0000, 0.0000), Ac at (0.0592, 0.5683, 0.3123), La at (0.3135, 0.8084, 0.5657), La at (0.3689, 0.3461, 0.9182) and Pd at (0.3207, 0.0620, 0.2925).

# 6
VASP calculation (PBE) on an optimized crystal structure of YZnOs2.

Its total magnetization is 0.50 Bohr magnetons per cell. The total energy comes out at -7.2883 eV/atom. For the formation energy, the calculation gives 261 meV/atom.

The structure belongs to space group P4/mmm (No. 123); the cell edges are 4.0339, 4.0339 and 4.1650 Å and the angles 90.00°, 90.00° and 90.00°. The asymmetric unit holds Y at (0.0000, 0.0000, 0.0000), Zn at (0.5000, 0.5000, 0.0000) and Os at (0.0000, 0.5000, 0.5000).

# 7
VASP calculation (PBE) on an optimized crystal structure of Nb3CF.

Its total magnetization is 0.00 Bohr magnetons per cell. The total energy comes out at -8.0837 eV/atom. Its energy above the lowest structure with this stoichiometry is 0 meV/atom. For the uncorrected formation energy, the calculation gives 177.2 meV per atom.

The structure belongs to space group Pm-3m (No. 221); the cell edges are 4.3062, 4.3062 and 4.3062 Å and the angles 90.00°, 90.00° and 90.00°. The asymmetric unit holds Nb at (0.0000, 0.0000, 0.5000), C at (0.0000, 0.0000, 0.0000) and F at (0.5000, 0.5000, 0.5000).

# 8
VASP calculation (PBE) on an optimized crystal structure of PmPuAgTe.

Its total magnetization is 30.26 Bohr magnetons per cell. The total energy comes out at -6.7646 eV/atom. For the uncorrected formation energy, the calculation gives -495.8 meV per atom.

The structure belongs to space group F-43m (No. 216); the cell edges are 7.5460, 7.5460 and 7.5460 Å and the angles 90.00°, 90.00° and 90.00°. The asymmetric unit holds Pm at (0.0000, 0.0000, 0.0000), Pu at (0.0000, 0.0000, 0.5000), Ag at (0.2500, 0.2500, 0.2500) and Te at (0.2500, 0.2500, 0.7500).

# 9
VASP calculation (PBE) on an optimized crystal structure of SrRuW2.

Its total magnetization is 0.00 Bohr magnetons per cell. The total energy comes out at -7.8276 eV/atom. Its energy above the lowest structure with this stoichiometry is 726 meV/atom. For the formation energy, the calculation gives 1388 meV/atom.

The structure belongs to space group P4/mmm (No. 123); the cell edges are 4.9247, 4.9247 and 2.9683 Å and the angles 90.00°, 90.00° and 90.00°. The asymmetric unit holds Sr at (0.0000, 0.0000, 0.0000), Ru at (0.5000, 0.5000, 0.0000) and W at (0.0000, 0.5000, 0.5000).

# 10
VASP calculation (PBE) on an optimized crystal structure of NbTl2ReAs.

Its total magnetization is 5.15 Bohr magnetons per cell. The total energy comes out at -4.8513 eV/atom. For the formation energy, the calculation gives 1529 meV/atom.

The structure belongs to space group P4/mmm (No. 123); the cell edges are 5.5207, 5.5207 and 4.9193 Å and the angles 90.00°, 90.00° and 90.00°. The asymmetric unit holds Nb at (0.0000, 0.0000, 0.0000), Tl at (0.0000, 0.5000, 0.0000), Re at (0.5000, 0.5000, 0.5000) and As at (0.0000, 0.0000, 0.5000).

# 11
VASP calculation (PBE) on an optimized crystal structure of K3Ga2Ag5.

Its total magnetization is 0.00 Bohr magnetons per cell. The total energy comes out at -2.3440 eV/atom. For the formation energy, the calculation gives 16 meV/atom.

The structure belongs to space group C2/c (No. 15); the cell edges are 8.1850, 30.1874 and 5.5962 Å and the angles 90.00°, 121.94° and 90.00°. The asymmetric unit holds K at (0.0000, 0.0135, 0.2500), K at (0.2249, 0.3113, 0.2049), Ga at (0.1705, 0.4032, 0.7454), Ag at (0.0000, 0.0992, 0.7500), Ag at (0.0000, 0.1166, 0.2500), Ag at (0.0000, 0.4877, 0.7500) and Ag at (0.1640, 0.4238, 0.2383).

# 12
VASP calculation (PBE) on an optimized crystal structure of CsLiBi2.

Its total magnetization is 0.00 Bohr magnetons per cell. The total energy comes out at -2.8983 eV/atom. Its energy above the lowest structure with this stoichiometry is 0 meV/atom. For the formation energy, the calculation gives -266 meV/atom.

The structure belongs to space group P4/mmm (No. 123); the cell edges are 4.0870, 4.0870 and 8.4279 Å and the angles 90.00°, 90.00° and 90.00°. The asymmetric unit holds Cs at (0.0000, 0.0000, 0.0000), Li at (0.0000, 0.0000, 0.5000) and Bi at (0.5000, 0.5000, 0.3271).